Record 1
Compound: VSbAuF2
Source: Alexandria via LeMat-Bulk
Functional: PBE with a Hubbard U
Structure: optimized geometry

a = 3.9540 Å, b = 6.0509 Å, c = 3.9540 Å
α = 90.00°, β = 90.00°, γ = 90.00°
Element x y z (fractional)
V 0.0000 0.0000 0.0000
Sb 0.0000 0.5000 0.0000
F 0.0000 0.0000 0.5000
F 0.5000 0.0000 0.0000
Au 0.5000 0.5000 0.5000

Output
- crystal system = tetragonal
- space-group type = P4/mmm

Record 2
Compound: V2SbAuF
Source: Alexandria via LeMat-Bulk
Functional: PBE with a Hubbard U
Structure: optimized geometry

a = 5.3902 Å, b = 5.1098 Å, c = 5.3902 Å
α = 90.00°, β = 90.00°, γ = 90.00°
Element x y z (fractional)
Sb 0.0000 0.0000 0.0000
V 0.0000 0.0000 0.5000
Au 0.0000 0.5000 0.0000
V 0.5000 0.0000 0.0000
F 0.5000 0.5000 0.5000

Output
- crystal system = tetragonal
- space-group type = P4/mmm

Theoretical density across the listed records, respectively: 7.16; 4.92 g cm⁻³.
Final energy across the listed records, respectively: -5.0913; -4.1814 eV per atom.